Entry 1:
KBa3Nb2O8 | GGA-PBE | optimized geometry

Output
Space group ... No. 164
Calculated volume ... 21.45 A^3/atom
Raw formation energy ... -35.07 eV/f.u.
Uncorrected energy ... -101.74 eV per formula unit

Structure (CIF):
```
data_KBa3Nb2O8
_cell_length_a 6.136
_cell_length_b 6.136
_cell_length_c 9.213
_cell_angle_alpha 90.00
_cell_angle_beta 90.00
_cell_angle_gamma 120.00
_symmetry_space_group_name_H-M 'P 1'
_symmetry_Int_Tables_number 1
loop_
_symmetry_equiv_pos_as_xyz
'x,y,z'
loop_
_atom_site_label
_atom_site_fract_x
_atom_site_fract_y
_atom_site_fract_z
K1 0.000 0.000 0.000
Ba1 0.000 0.000 0.500
Ba2 0.333 0.667 0.208
Ba3 0.667 0.333 0.792
Nb1 0.333 0.667 0.679
Nb2 0.667 0.333 0.321
O1 0.167 0.333 0.745
O2 0.167 0.833 0.745
O3 0.333 0.167 0.255
O4 0.333 0.667 0.474
O5 0.667 0.333 0.526
O6 0.667 0.833 0.745
O7 0.833 0.167 0.255
O8 0.833 0.667 0.255
```


Entry 2:
Zn5Ag | GGA-PBE | optimized geometry

Output
Space group ... No. 216
ΔE_f ... 32 meV/atom
Calculated volume ... 15.49 A^3/atom
Uncorrected energy ... -9.03 eV per formula unit

Structure (CIF):
```
data_Zn5Ag
_cell_length_a 5.085
_cell_length_b 5.085
_cell_length_c 5.085
_cell_angle_alpha 60.00
_cell_angle_beta 60.00
_cell_angle_gamma 60.00
_symmetry_space_group_name_H-M 'P 1'
_symmetry_Int_Tables_number 1
loop_
_symmetry_equiv_pos_as_xyz
'x,y,z'
loop_
_atom_site_label
_atom_site_fract_x
_atom_site_fract_y
_atom_site_fract_z
Zn1 0.000 0.000 0.000
Zn2 0.375 0.375 0.375
Zn3 0.375 0.375 0.875
Zn4 0.375 0.875 0.375
Zn5 0.875 0.375 0.375
Ag1 0.750 0.750 0.750
```